# Hg3As5Br12, optimized geometry, DFT PBE
data_Hg3As5Br12
_chemical_formula_sum 'Hg24 As40 Br96'
_symmetry_space_group_name_H-M 'I a -3 d'
_symmetry_Int_Tables_number 230
_symmetry_space_group_name_Hall '-I 4bd 2c 3'
_cell_length_a 18.3507
_cell_length_b 18.3507
_cell_length_c 18.3507
_cell_angle_alpha 90.00
_cell_angle_beta 90.00
_cell_angle_gamma 90.00
loop_
_atom_site_label
_atom_site_fract_x
_atom_site_fract_y
_atom_site_fract_z
Hg1 0.0000 0.2500 0.1250
As1 0.0000 0.0000 0.0000
As2 0.0000 0.2500 0.3750
Br1 0.0341 0.1419 0.9566
# Total magnetic moment: 0.0 μB/f.u.
# VASP energy: -0.170 Ry per atom
# Fermi-level density of states: 62.6 states/eV/cell
# Raw formation energy: -0.0957 eV/atom